An optimized crystal structure of Ca2ZnRuSe, computed with PBE-GGA.

The structure in POSCAR format:
```
Ca2ZnRuSe
1.0
5.5279 0.0000 0.0000
0.0000 4.6318 0.0000
0.0000 0.0000 5.5279
Ru Ca Se Zn
1 2 1 1
Direct
0.0000 0.0000 0.0000
0.0000 0.0000 0.5000
0.5000 0.0000 0.0000
0.0000 0.5000 0.0000
0.5000 0.5000 0.5000
```

Properties
Crystal system: tetragonal
Magnetization (μB per formula unit): 0.00
VASP energy (eV per atom): -3.7966



An optimized crystal structure of CaSiRu2, computed with PBE-GGA.

The structure in POSCAR format:
```
CaSiRu2
1.0
-2.1955 3.0822 -6.9808
0.7279 1.9581 -7.6608
-1.8020 -0.0083 -7.7334
Ca Si Ru
1 1 2
Direct
0.7500 0.7500 0.7500
0.2500 0.2500 0.2500
0.9814 0.9814 0.9814
0.5186 0.5186 0.5186
```

Properties
Crystal system: trigonal
Magnetization (μB per formula unit): 0.00
VASP energy (eV per atom): -6.4943



An optimized crystal structure of Ca3SiRu, computed with PBE-GGA.

The structure in POSCAR format:
```
Ca3SiRu
1.0
-4.5688 2.5940 1.7103
-2.4994 -1.2616 -4.7633
-1.8458 -4.7124 2.2166
Ca Si Ru
3 1 1
Direct
0.0000 0.5000 0.0000
0.5000 0.0000 0.0000
0.0000 0.0000 0.5000
0.0000 0.0000 0.0000
0.5000 0.5000 0.5000
```

Properties
Crystal system: cubic
Magnetization (μB per formula unit): 2.03
VASP energy (eV per atom): -3.5297



An optimized crystal structure of Ca2SiRu, computed with PBE-GGA.

The structure in POSCAR format:
```
Ca2SiRu
1.0
-4.1163 5.8494 5.9918
-3.7473 3.1594 7.9396
-1.2204 5.3149 7.5713
Si Ru Ca
1 1 2
Direct
0.7500 0.7500 0.7500
0.2500 0.2500 0.2500
0.5053 0.5053 0.5053
0.9947 0.9947 0.9947
```

Properties
Crystal system: trigonal
Magnetization (μB per formula unit): 0.00
VASP energy (eV per atom): -4.3551



An optimized crystal structure of Ca2SiRu, computed with PBE-GGA.

The structure in POSCAR format:
```
Ca2SiRu
1.0
4.4062 0.0000 0.0000
0.0000 4.4066 0.0000
0.0000 0.0000 4.1836
Si Ca Ru
1 2 1
Direct
0.0000 0.5000 0.5000
0.5000 0.5000 0.0000
0.0000 0.0000 0.0000
0.5000 0.0000 0.5000
```

Properties
Crystal system: tetragonal
Magnetization (μB per formula unit): 0.00
VASP energy (eV per atom): -4.5934



An optimized crystal structure of CaSiRu2, computed with PBE-GGA.

The structure in POSCAR format:
```
CaSiRu2
1.0
2.8962 0.0000 0.0000
0.0000 3.6209 0.0000
0.0000 0.0000 6.6287
Ru Ca Si
2 1 1
Direct
0.5000 0.5000 0.2568
0.0000 0.0000 0.0672
0.5000 0.5000 0.7429
0.0000 0.0000 0.4330
```

Properties
Crystal system: orthorhombic
Magnetization (μB per formula unit): 0.00
VASP energy (eV per atom): -6.4763



An optimized crystal structure of Ca2SiRu, computed with PBE-GGA.

The structure in POSCAR format:
```
Ca2SiRu
1.0
3.1412 0.0085 0.0000
-0.0090 3.1412 0.0000
0.0000 0.0000 8.5558
Ca Ru Si
2 1 1
Direct
0.0000 0.0000 0.4964
0.0000 0.0000 0.0036
0.5000 0.5000 0.2500
0.5000 0.5000 0.7500
```

Properties
Crystal system: tetragonal
Magnetization (μB per formula unit): 1.07
VASP energy (eV per atom): -4.5154



An optimized crystal structure of Ca2SiRu, computed with PBE-GGA.

The structure in POSCAR format:
```
Ca2SiRu
1.0
-9.8751 2.6394 2.5116
-2.8625 -10.1094 -0.6309
-5.8786 -4.0123 3.1591
Ca Si Ru
4 2 2
Direct
0.8091 0.1250 0.2500
0.8750 0.0591 0.7500
0.9409 0.6250 0.2500
0.3750 0.1909 0.7500
0.5000 0.5000 0.0000
0.2500 0.7500 0.5000
0.0000 0.0000 0.0000
0.7500 0.2500 0.5000
```

Properties
Crystal system: tetragonal
Magnetization (μB per formula unit): 0.00
VASP energy (eV per atom): -4.7259



An optimized crystal structure of Ca2SiRu, computed with PBE-GGA.

The structure in POSCAR format:
```
Ca2SiRu
1.0
-2.8009 -1.9144 -3.3660
3.4739 -3.0670 -1.1686
-1.5310 0.2800 4.5186
Ca Si Ru
2 1 1
Direct
0.2500 0.7500 0.5000
0.0000 0.0000 0.0000
0.7500 0.2500 0.5000
0.5000 0.5000 0.0000
```

Properties
Crystal system: tetragonal
Magnetization (μB per formula unit): 0.00
VASP energy (eV per atom): -4.6249



An optimized crystal structure of CaSiRu2, computed with PBE-GGA.

The structure in POSCAR format:
```
CaSiRu2
1.0
4.7359 0.0000 0.0000
0.0000 4.7359 0.0000
2.3679 2.3679 8.2169
Ru Ca Si
4 2 2
Direct
0.8750 0.6119 0.7500
0.3750 0.6381 0.7500
0.3881 0.6250 0.2500
0.3619 0.1250 0.2500
0.0000 0.0000 0.0000
0.7500 0.2500 0.5000
0.5000 0.5000 0.0000
0.2500 0.7500 0.5000
```

Properties
Crystal system: tetragonal
Magnetization (μB per formula unit): 0.00
VASP energy (eV per atom): -6.2834



An optimized crystal structure of Ca2SiRu, computed with PBE-GGA.

The structure in POSCAR format:
```
Ca2SiRu
1.0
5.8082 0.0130 -0.0036
2.4638 5.2598 0.0036
-3.7063 -3.3106 3.0066
Si Ca Ru
1 2 1
Direct
0.3015 0.8015 0.5000
0.7381 0.2381 0.5000
0.0288 0.0288 0.0000
0.4316 0.4316 0.0000
```

Properties
Crystal system: orthorhombic
Magnetization (μB per formula unit): 0.00
VASP energy (eV per atom): -4.9036



An optimized crystal structure of CaSi2Ru4, computed with PBE-GGA.

The structure in POSCAR format:
```
CaSi2Ru4
1.0
4.6552 0.0000 0.0000
0.0000 4.6552 0.0000
2.3276 2.3276 6.0675
Ru Ca Si
4 1 2
Direct
0.7821 0.7821 0.4357
0.5000 0.0000 0.0000
0.0000 0.5000 0.0000
0.2179 0.2179 0.5643
0.0000 0.0000 0.0000
0.4007 0.4007 0.1985
0.5993 0.5993 0.8015
```

Properties
Crystal system: tetragonal
Magnetization (μB per formula unit): 3.29
VASP energy (eV per atom): -5.8173



An optimized crystal structure of CaSiRu2, computed with PBE-GGA.

The structure in POSCAR format:
```
CaSiRu2
1.0
3.0849 0.0000 0.0000
0.0000 4.9083 0.0000
0.0000 0.0000 4.2012
Ca Ru Si
1 2 1
Direct
0.0000 0.5000 0.5000
0.0000 0.0000 0.0000
0.5000 0.5000 0.0000
0.5000 0.0000 0.5000
```

Properties
Crystal system: orthorhombic
Magnetization (μB per formula unit): 0.00
VASP energy (eV per atom): -6.2542



An optimized crystal structure of CaSi3Ru3, computed with PBE-GGA.

The structure in POSCAR format:
```
CaSi3Ru3
1.0
6.5098 0.0000 0.0000
0.0000 6.5098 0.0000
0.0000 0.0000 6.5098
Ru Si Ca
6 6 2
Direct
0.7500 0.0000 0.5000
0.5000 0.7500 0.0000
0.5000 0.2500 0.0000
0.2500 0.0000 0.5000
0.0000 0.5000 0.7500
0.0000 0.5000 0.2500
0.2500 0.5000 0.0000
0.5000 0.0000 0.2500
0.7500 0.5000 0.0000
0.0000 0.7500 0.5000
0.0000 0.2500 0.5000
0.5000 0.0000 0.7500
0.0000 0.0000 0.0000
0.5000 0.5000 0.5000
```

Properties
Crystal system: cubic
Magnetization (μB per formula unit): 0.00
VASP energy (eV per atom): -6.7874



An optimized crystal structure of Ca2SiRu, computed with PBE-GGA.

The structure in POSCAR format:
```
Ca2SiRu
1.0
-0.9626 -4.0443 -5.4070
1.4830 -1.9764 4.5370
-2.5858 -1.9821 -0.0151
Ca Si Ru
2 1 1
Direct
0.5000 0.0000 0.5000
0.0000 0.0000 0.0000
0.5000 0.5000 0.0000
0.0000 0.5000 0.5000
```

Properties
Crystal system: orthorhombic
Magnetization (μB per formula unit): 0.19
VASP energy (eV per atom): -4.5402



An optimized crystal structure of CaSiRu2, computed with PBE-GGA.

The structure in POSCAR format:
```
CaSiRu2
1.0
-3.6031 -0.9494 2.5421
-3.0398 -3.0096 -1.4308
-0.3312 -4.0124 2.0338
Ru Ca Si
2 1 1
Direct
0.0000 0.0000 0.0000
0.2500 0.2500 0.2500
0.5000 0.5000 0.5000
0.7500 0.7500 0.7500
```

Properties
Crystal system: cubic
Magnetization (μB per formula unit): 1.45
VASP energy (eV per atom): -6.2480



An optimized crystal structure of Ca2SiRu, computed with PBE-GGA.

The structure in POSCAR format:
```
Ca2SiRu
1.0
4.0456 0.0000 0.0000
0.0000 4.4651 0.0039
0.0000 2.2277 5.3732
Ru Si Ca
1 1 2
Direct
0.0000 0.6763 0.5227
0.5000 0.5708 0.7332
0.0000 0.9838 0.9076
0.5000 0.2691 0.3365
```

Properties
Crystal system: orthorhombic
Magnetization (μB per formula unit): 0.00
VASP energy (eV per atom): -4.9931



An optimized crystal structure of CaSiRu2, computed with PBE-GGA.

The structure in POSCAR format:
```
CaSiRu2
1.0
-1.1156 -8.9114 0.2285
-1.0442 -8.4997 -2.7158
1.4939 -8.7783 -1.1914
Ru Si Ca
2 1 1
Direct
0.9918 0.9918 0.9918
0.2454 0.2454 0.2454
0.5135 0.5135 0.5135
0.7492 0.7492 0.7492
```

Properties
Crystal system: trigonal
Magnetization (μB per formula unit): 0.00
VASP energy (eV per atom): -6.2108



An optimized crystal structure of CaSiRu2, computed with PBE-GGA.

The structure in POSCAR format:
```
CaSiRu2
1.0
-2.1446 4.7249 -1.4987
-4.3354 3.2205 -0.0525
0.0783 3.0358 3.2768
Ca Si Ru
1 1 2
Direct
0.7519 0.7519 0.7400
0.5311 0.5311 0.4571
0.9785 0.9785 0.0536
0.2385 0.2385 0.2493
```

Properties
Crystal system: monoclinic
Magnetization (μB per formula unit): 0.00
VASP energy (eV per atom): -6.4846



An optimized crystal structure of CaSiRu2, computed with PBE-GGA.

The structure in POSCAR format:
```
CaSiRu2
1.0
3.0557 0.0097 0.0000
-0.0112 3.0557 0.0000
0.0000 0.0000 6.9272
Ca Ru Si
1 2 1
Direct
0.5000 0.5000 0.7500
0.0000 0.0000 0.0571
0.0000 0.0000 0.4429
0.5000 0.5000 0.2500
```

Properties
Crystal system: tetragonal
Magnetization (μB per formula unit): 0.00
VASP energy (eV per atom): -6.6260